Entry from the Alexandria database: a relaxed MnZnNi2 crystal (PBE-GGA).

Lattice parameters (Å, degrees): 8.2705 8.2705 8.2705 18.39 18.39 18.39
Site moments in Bohr magnetons follow the coordinates.
Atoms (fractional coordinates):
Zn 0.2500 0.2500 0.2500  -0.01
Mn 0.7500 0.7500 0.7500  3.18
Ni 0.0016 0.0016 0.0016  0.55
Ni 0.4984 0.4984 0.4984  0.55

Values from the calculation:
Space-group type ... No. 166
Density ... 8.0 Mg/m³
Total DFT energy (no corrections) ... -5.52 eV/atom